No. 1
An optimized crystal structure of RbInPd2C, computed with PBE.

a b c (Å): 5.284 5.284 4.898
angles (deg): 90.00 90.00 90.00
Space group P4/mmm (No. 123)
Unique sites:
Rb1 0.000 0.000 0.000 x1
In1 0.500 0.500 0.500 x1
Pd1 0.000 0.500 0.000 x2
C1 0.000 0.000 0.500 x1

Values from the calculation:
Energy relative to the elements ... 206.79 kJ per mole of atoms
Electronic total energy ... -2.520 eV per atom


No. 2
An optimized crystal structure of Cd2CoTc, computed with PBE.

a b c (Å): 2.8381 2.8381 28.7813
angles (deg): 90.00 90.00 120.00
Space group R3m (No. 160, hexagonal axes)
Unique sites:
Cd1 0.0000 0.0000 0.0000 x3
Cd2 0.0000 0.0000 0.2317 x3
Co1 0.0000 0.0000 0.4850 x3
Tc1 0.0000 0.0000 0.7536 x3

Values from the calculation:
Energy relative to the elements ... 26.93 kJ per mole of atoms
Excess energy over the best structure of this formula in the dataset ... 38.6 kJ/mol of formula units
Electronic total energy ... -4.546 eV per atom


No. 3
An optimized crystal structure of TcRhPb2, computed with PBE.

a b c (Å): 3.3030 3.3030 25.1303
angles (deg): 90.00 90.00 120.00
Space group R-3m (No. 166, hexagonal axes)
Unique sites:
Tc1 0.0000 0.0000 0.0000 x3
Rh1 0.0000 0.0000 0.5000 x3
Pb1 0.0000 0.0000 0.2488 x6

Values from the calculation:
Energy relative to the elements ... 45.75 kJ per mole of atoms
Excess energy over the best structure of this formula in the dataset ... 81.7 kJ/mol of formula units
Electronic total energy ... -5.809 eV per atom


No. 4
An optimized crystal structure of YPb3Au, computed with PBE.

a b c (Å): 5.533 5.533 5.533
angles (deg): 90.00 90.00 90.00
Space group Pm-3m (No. 221)
Unique sites:
Y1 0.000 0.000 0.000 x1
Pb1 0.000 0.500 0.500 x3
Au1 0.500 0.500 0.500 x1

Values from the calculation:
Energy relative to the elements ... 21.26 kJ per mole of atoms
Excess energy over the best structure of this formula in the dataset ... 0.0 kJ/mol of formula units
Electronic total energy ... -3.953 eV per atom


No. 5
An optimized crystal structure of AcNd3Ir2, computed with PBE.

a b c (Å): 16.603 5.116 8.757
angles (deg): 90.00 114.51 90.00
Space group C2/m (No. 12)
Unique sites:
Ac1 0.132 0.000 0.220 x4
Nd1 0.067 0.000 0.729 x4
Nd2 0.131 0.500 0.509 x4
Nd3 0.187 0.500 0.990 x4
Ir1 0.001 0.500 0.849 x4
Ir2 0.223 0.000 0.640 x4

Values from the calculation:
Energy relative to the elements ... -36.30 kJ per mole of atoms
Excess energy over the best structure of this formula in the dataset ... 97.5 kJ/mol of formula units
Electronic total energy ... -6.399 eV per atom


No. 6
An optimized crystal structure of KCuSe2Br, computed with PBE.

a b c (Å): 6.045 6.045 5.921
angles (deg): 90.00 90.00 90.00
Space group P4/mmm (No. 123)
Unique sites:
K1 0.000 0.000 0.000 x1
Cu1 0.500 0.500 0.500 x1
Se1 0.000 0.500 0.000 x2
Br1 0.000 0.000 0.500 x1

Values from the calculation:
Excess energy over the best structure of this formula in the dataset ... 587.0 kJ/mol of formula units
E_form (uncorrected) ... 862 meV/atom
Electronic total energy ... -1.905 eV per atom


No. 7
An optimized crystal structure of La2TlNi2, computed with PBE.

a b c (Å): 3.619 3.619 18.475
angles (deg): 90.00 90.00 90.00
Space group I4/mmm (No. 139)
Unique sites:
La1 0.000 0.000 0.132 x4
Tl1 0.000 0.000 0.500 x2
Ni1 0.000 0.500 0.250 x4

Values from the calculation:
Energy relative to the elements ... -21.17 kJ per mole of atoms
Electronic total energy ... -4.976 eV per atom


No. 8
An optimized crystal structure of PaNi2H, computed with PBE.

a b c (Å): 3.5377 3.5377 19.2810
angles (deg): 90.00 90.00 120.00
Space group R-3m (No. 166, hexagonal axes)
Unique sites:
Pa1 0.0000 0.0000 0.0000 x3
Ni1 0.0000 0.0000 0.4176 x6
H1 0.0000 0.0000 0.5000 x3

Values from the calculation:
Excess energy over the best structure of this formula in the dataset ... 222.2 kJ/mol of formula units
Electronic total energy ... -5.875 eV per atom


No. 9
An optimized crystal structure of MgCrHg2, computed with PBE.

a b c (Å): 3.324 3.597 6.651
angles (deg): 90.00 90.00 90.00
Space group Pmmm (No. 47)
Unique sites:
Mg1 0.000 0.000 0.000 x1
Cr1 0.000 0.000 0.500 x1
Hg1 0.500 0.500 0.258 x2

Values from the calculation:
Energy relative to the elements ... 13.47 kJ per mole of atoms
Electronic total energy ... -2.816 eV per atom


No. 10
An optimized crystal structure of TaSn3Pd12, computed with PBE.

a b c (Å): 4.019 4.019 16.109
angles (deg): 90.00 90.00 90.00
Space group P4/mmm (No. 123)
Unique sites:
Ta1 0.000 0.000 0.000 x1
Sn1 0.000 0.000 0.252 x2
Sn2 0.000 0.000 0.500 x1
Pd1 0.000 0.500 0.118 x4
Pd2 0.000 0.500 0.374 x4
Pd3 0.500 0.500 0.000 x1
Pd4 0.500 0.500 0.245 x2
Pd5 0.500 0.500 0.500 x1

Values from the calculation:
Energy relative to the elements ... -48.71 kJ per mole of atoms
Electronic total energy ... -5.891 eV per atom


No. 11
An optimized crystal structure of Ac3TeN2, computed with PBE.

a b c (Å): 4.238 14.636 10.591
angles (deg): 90.00 90.00 90.00
Space group Cmcm (No. 63)
Unique sites:
Ac1 0.000 0.057 0.250 x4
Ac2 0.000 0.383 0.060 x8
Te1 0.000 0.253 0.750 x4
N1 0.000 0.000 0.000 x4
N2 0.000 0.470 0.250 x4

Values from the calculation:
E_form (uncorrected) ... -1242 meV/atom
Electronic total energy ... -6.595 eV per atom


No. 12
An optimized crystal structure of ZrSiMo2, computed with PBE.

a b c (Å): 3.244 4.300 5.131
angles (deg): 90.00 107.16 90.00
Space group Pm (No. 6)
Unique sites:
Zr1 0.000 0.000 0.000 x1
Si1 0.434 0.500 0.851 x1
Mo1 0.311 0.000 0.526 x1
Mo2 0.733 0.500 0.425 x1

Values from the calculation:
E_form (uncorrected) ... -185 meV/atom
Electronic total energy ... -9.094 eV per atom


No. 13
An optimized crystal structure of SrGa2AgPd5, computed with PBE.

a b c (Å): 4.807 4.807 7.383
angles (deg): 90.00 90.00 90.00
Space group P4/mmm (No. 123)
Unique sites:
Sr1 0.000 0.000 0.000 x1
Ga1 0.500 0.500 0.333 x2
Ag1 0.000 0.000 0.500 x1
Pd1 0.000 0.500 0.284 x4
Pd2 0.500 0.500 0.000 x1

Values from the calculation:
Energy relative to the elements ... -32.45 kJ per mole of atoms
Electronic total energy ... -4.398 eV per atom


No. 14
An optimized crystal structure of LaCd4Pd2, computed with PBE.

a b c (Å): 4.326 17.435 4.180
angles (deg): 90.00 90.00 90.00
Space group Cmmm (No. 65)
Unique sites:
La1 0.000 0.000 0.000 x2
Cd1 0.000 0.178 0.500 x4
Cd2 0.000 0.318 0.000 x4
Pd1 0.000 0.424 0.500 x4

Values from the calculation:
Energy relative to the elements ... -39.21 kJ per mole of atoms
Excess energy over the best structure of this formula in the dataset ... 38.1 kJ/mol of formula units
Electronic total energy ... -3.117 eV per atom


No. 15
An optimized crystal structure of SrSmPu2Se4, computed with PBE.

a b c (Å): 7.300 4.208 7.371
angles (deg): 90.00 109.52 90.00
Space group P2/m (No. 10)
Unique sites:
Sr1 0.000 0.000 0.000 x1
Sm1 0.000 0.500 0.500 x1
Pu1 0.500 0.000 0.500 x1
Pu2 0.500 0.500 0.000 x1
Se1 0.256 0.000 0.748 x2
Se2 0.259 0.500 0.260 x2

Values from the calculation:
E_form (uncorrected) ... -1685 meV/atom
Electronic total energy ... -7.810 eV per atom


No. 16
An optimized crystal structure of HoScGaHg, computed with PBE.

a b c (Å): 7.107 7.107 7.107
angles (deg): 90.00 90.00 90.00
Space group F-43m (No. 216)
Unique sites:
Ho1 0.000 0.000 0.000 x4
Sc1 0.000 0.000 0.500 x4
Ga1 0.250 0.250 0.750 x4
Hg1 0.250 0.250 0.250 x4

Values from the calculation:
Energy relative to the elements ... -47.31 kJ per mole of atoms
Electronic total energy ... -4.050 eV per atom


No. 17
An optimized crystal structure of SrCoGe2Bi, computed with PBE.

a b c (Å): 4.612 4.612 5.774
angles (deg): 90.00 90.00 90.00
Space group P4/mmm (No. 123)
Unique sites:
Sr1 0.000 0.000 0.000 x1
Co1 0.500 0.500 0.500 x1
Ge1 0.000 0.500 0.500 x2
Bi1 0.500 0.500 0.000 x1

Values from the calculation:
Energy relative to the elements ... -9.46 kJ per mole of atoms
Electronic total energy ... -4.479 eV per atom


No. 18
An optimized crystal structure of InSi2I, computed with PBE.

a b c (Å): 7.200 7.200 7.200
angles (deg): 90.00 90.00 90.00
Space group Fm-3m (No. 225)
Unique sites:
In1 0.000 0.000 0.000 x4
Si1 0.250 0.250 0.250 x8
I1 0.000 0.000 0.500 x4

Values from the calculation:
Excess energy over the best structure of this formula in the dataset ... 8.1 kJ/mol of formula units
E_form (uncorrected) ... 785 meV/atom
Electronic total energy ... -2.998 eV per atom


No. 19
An optimized crystal structure of BiBPt3, computed with PBE.

a b c (Å): 6.654 13.392 5.362
angles (deg): 90.00 90.00 90.00
Space group Cmcm (No. 63)
Unique sites:
Bi1 0.000 0.188 0.250 x4
B1 0.000 0.386 0.250 x4
Pt1 0.000 0.000 0.000 x4
Pt2 0.218 0.139 0.750 x8

Values from the calculation:
Energy relative to the elements ... 30.16 kJ per mole of atoms
Excess energy over the best structure of this formula in the dataset ... 256.1 kJ/mol of formula units
Electronic total energy ... -5.424 eV per atom


No. 20
An optimized crystal structure of KCaGaSe3, computed with PBE.

a b c (Å): 9.009 4.169 11.019
angles (deg): 90.00 108.64 90.00
Space group P2_1/m (No. 11)
Unique sites:
K1 0.241 0.250 0.226 x2
Ca1 0.336 0.750 0.887 x2
Ga1 0.079 0.250 0.625 x2
Se1 0.074 0.250 0.834 x2
Se2 0.188 0.750 0.546 x2
Se3 0.472 0.750 0.162 x2

Values from the calculation:
E_form (uncorrected) ... -1179 meV/atom
Electronic total energy ... -3.942 eV per atom